Entry 1:
LaNd5Ag4: relaxed, PBE-GGA.

Calculated total energy ... -42.2 eV per cell
Size of the total moment ... 0.000 μB per cell

Geometry as CIF:
```
data_LaNd5Ag4
_cell_length_a 3.744
_cell_length_b 3.744
_cell_length_c 20.254
_cell_angle_alpha 90.00
_cell_angle_beta 90.00
_cell_angle_gamma 90.00
_symmetry_space_group_name_H-M 'P 1'
_symmetry_Int_Tables_number 1
_symmetry_space_group_name_Hall 'P 1'
loop_
_atom_site_label
_atom_site_fract_x
_atom_site_fract_y
_atom_site_fract_z
Ag1 0.000 0.000 0.594
Ag2 0.000 0.000 0.781
Ag3 0.000 0.000 0.219
Ag4 0.000 0.000 0.406
Nd1 0.500 0.500 0.873
Nd2 0.500 0.500 0.127
Nd3 0.500 0.500 0.500
Nd4 0.500 0.500 0.688
Nd5 0.500 0.500 0.312
La1 0.000 0.000 0.000
```

---

Entry 2:
Th2MgUN5: relaxed, PBE-GGA.

Calculated total energy ... -162.6 eV per cell
Size of the total moment ... 0.950 μB per cell
Energy relative to the elements, uncorrected ... -1329 meV/atom

Geometry as CIF:
```
data_Th2MgUN5
_cell_length_a 3.543
_cell_length_b 7.141
_cell_length_c 10.592
_cell_angle_alpha 90.00
_cell_angle_beta 90.00
_cell_angle_gamma 104.37
_symmetry_space_group_name_H-M 'P 1'
_symmetry_Int_Tables_number 1
_symmetry_space_group_name_Hall 'P 1'
loop_
_atom_site_label
_atom_site_fract_x
_atom_site_fract_y
_atom_site_fract_z
N1 0.363 0.726 0.012
N2 0.064 0.127 0.052
N3 0.279 0.559 0.652
N4 0.507 0.015 0.276
N5 0.304 0.609 0.370
N6 0.493 0.985 0.776
N7 0.721 0.441 0.152
N8 0.936 0.873 0.552
N9 0.696 0.391 0.870
N10 0.637 0.274 0.512
U1 0.790 0.580 0.507
U2 0.210 0.420 0.007
Th1 0.866 0.732 0.792
Th2 0.134 0.268 0.292
Th3 0.108 0.217 0.693
Th4 0.892 0.783 0.193
Mg1 0.522 0.043 0.971
Mg2 0.478 0.957 0.471
```

---

Entry 3:
PuPaGaAu: relaxed, PBE-GGA.

Calculated total energy ... -30.9 eV per cell
Size of the total moment ... 7.087 μB per cell
Energy above the lowest structure with this stoichiometry ... 11.4 kJ/mol of atoms

Geometry as CIF:
```
data_PuPaGaAu
_cell_length_a 5.095
_cell_length_b 5.095
_cell_length_c 5.095
_cell_angle_alpha 60.00
_cell_angle_beta 60.00
_cell_angle_gamma 60.00
_symmetry_space_group_name_H-M 'P 1'
_symmetry_Int_Tables_number 1
_symmetry_space_group_name_Hall 'P 1'
loop_
_atom_site_label
_atom_site_fract_x
_atom_site_fract_y
_atom_site_fract_z
Pu1 0.500 0.500 0.500
Au1 0.250 0.250 0.250
Ga1 0.750 0.750 0.750
Pa1 0.000 0.000 0.000
```

---

Entry 4:
SnSb2Pd: relaxed, PBE-GGA.

Calculated total energy ... -18.0 eV per cell
Size of the total moment ... 0.000 μB per cell
Energy relative to the elements, uncorrected ... -144 meV/atom

Geometry as CIF:
```
data_SnSb2Pd
_cell_length_a 4.271
_cell_length_b 4.271
_cell_length_c 7.012
_cell_angle_alpha 72.27
_cell_angle_beta 72.27
_cell_angle_gamma 60.00
_symmetry_space_group_name_H-M 'P 1'
_symmetry_Int_Tables_number 1
_symmetry_space_group_name_Hall 'P 1'
loop_
_atom_site_label
_atom_site_fract_x
_atom_site_fract_y
_atom_site_fract_z
Sn1 0.505 0.505 0.485
Sb1 0.269 0.269 0.193
Sb2 0.062 0.062 0.815
Pd1 0.665 0.665 0.006
```

---

Entry 5:
Tb5Er3Th3: relaxed, PBE-GGA.

Calculated total energy ... -54.9 eV per cell
Size of the total moment ... 0.001 μB per cell

Geometry as CIF:
```
data_Tb5Er3Th3
_cell_length_a 3.422
_cell_length_b 11.154
_cell_length_c 11.154
_cell_angle_alpha 120.00
_cell_angle_beta 90.00
_cell_angle_gamma 90.00
_symmetry_space_group_name_H-M 'P 1'
_symmetry_Int_Tables_number 1
_symmetry_space_group_name_Hall 'P 1'
loop_
_atom_site_label
_atom_site_fract_x
_atom_site_fract_y
_atom_site_fract_z
Tb1 0.500 0.839 0.000
Tb2 0.500 0.667 0.333
Tb3 0.500 0.161 0.161
Tb4 0.500 0.000 0.839
Tb5 0.500 0.333 0.667
Er1 0.000 0.000 0.592
Er2 0.000 0.592 0.000
Er3 0.000 0.408 0.408
Th1 0.500 0.000 0.339
Th2 0.500 0.661 0.661
Th3 0.500 0.339 0.000
```

---

Entry 6:
Ac5Cd2Co: relaxed, PBE-GGA.

Calculated total energy ... -61.0 eV per cell
Size of the total moment ... 0.000 μB per cell

Geometry as CIF:
```
data_Ac5Cd2Co
_cell_length_a 5.040
_cell_length_b 8.902
_cell_length_c 12.616
_cell_angle_alpha 90.00
_cell_angle_beta 90.00
_cell_angle_gamma 90.00
_symmetry_space_group_name_H-M 'P 1'
_symmetry_Int_Tables_number 1
_symmetry_space_group_name_Hall 'P 1'
loop_
_atom_site_label
_atom_site_fract_x
_atom_site_fract_y
_atom_site_fract_z
Ac1 0.000 0.000 0.500
Ac2 0.000 0.134 0.805
Ac3 0.500 0.180 0.070
Ac4 0.000 0.500 0.000
Ac5 0.000 0.634 0.695
Ac6 0.500 0.320 0.570
Ac7 0.500 0.680 0.430
Ac8 0.000 0.366 0.305
Ac9 0.000 0.866 0.195
Ac10 0.500 0.820 0.930
Cd1 0.500 0.426 0.833
Cd2 0.500 0.074 0.333
Cd3 0.500 0.574 0.167
Cd4 0.500 0.926 0.667
Co1 0.000 0.500 0.500
Co2 0.000 0.000 0.000
```

---

Entry 7:
BaMnIN2: relaxed, PBE-GGA.

Calculated total energy ... -26.3 eV per cell
Size of the total moment ... 0.000 μB per cell
Energy above the lowest structure with this stoichiometry ... 0.0 kJ/mol of atoms
Energy relative to the elements, uncorrected ... 592 meV/atom

Geometry as CIF:
```
data_BaMnIN2
_cell_length_a 4.246
_cell_length_b 4.246
_cell_length_c 5.241
_cell_angle_alpha 90.00
_cell_angle_beta 90.00
_cell_angle_gamma 90.00
_symmetry_space_group_name_H-M 'P 1'
_symmetry_Int_Tables_number 1
_symmetry_space_group_name_Hall 'P 1'
loop_
_atom_site_label
_atom_site_fract_x
_atom_site_fract_y
_atom_site_fract_z
N1 0.500 0.000 0.000
N2 0.000 0.500 0.000
Mn1 0.000 0.000 0.000
Ba1 0.500 0.500 0.500
I1 0.000 0.000 0.500
```

---

Entry 8:
MnCu4Pt7: relaxed, PBE-GGA.

Calculated total energy ... -69.2 eV per cell
Size of the total moment ... 4.132 μB per cell

Geometry as CIF:
```
data_MnCu4Pt7
_cell_length_a 4.249
_cell_length_b 4.250
_cell_length_c 10.767
_cell_angle_alpha 83.82
_cell_angle_beta 96.17
_cell_angle_gamma 115.68
_symmetry_space_group_name_H-M 'P 1'
_symmetry_Int_Tables_number 1
_symmetry_space_group_name_Hall 'P 1'
loop_
_atom_site_label
_atom_site_fract_x
_atom_site_fract_y
_atom_site_fract_z
Pt1 0.000 0.000 0.000
Pt2 0.003 0.997 0.741
Pt3 0.669 0.331 0.582
Pt4 0.664 0.336 0.844
Pt5 0.336 0.664 0.156
Pt6 0.331 0.669 0.418
Pt7 0.997 0.003 0.259
Cu1 0.338 0.662 0.669
Cu2 0.330 0.670 0.911
Cu3 0.670 0.330 0.089
Cu4 0.662 0.338 0.331
Mn1 0.000 0.000 0.500
```